# GGA+U CrOsPb2O6, optimized geometry
# Mass density, Mg/m³: 9.79
# DOS(E_F), states/eV/f.u.: 4.10
# E, Ry per atom: -0.4976
data_CrOsPb2O6
_chemical_formula_sum 'Cr1 Os1 Pb2 O6'
_symmetry_space_group_name_H-M 'P 1'
_symmetry_Int_Tables_number 1
_symmetry_space_group_name_Hall 'P 1'
_cell_length_a 5.6521
_cell_length_b 5.6521
_cell_length_c 5.6521
_cell_angle_alpha 60.00
_cell_angle_beta 60.00
_cell_angle_gamma 60.00
loop_
_atom_site_label
_atom_site_type_symbol
_atom_site_fract_x
_atom_site_fract_y
_atom_site_fract_z
Cr1 Cr 0.0000 0.0000 0.0000
Os1 Os 0.5000 0.5000 0.5000
Pb1 Pb 0.2500 0.2500 0.2500
Pb2 Pb 0.7500 0.7500 0.7500
O1 O 0.2527 0.2527 0.7473
O2 O 0.2527 0.7473 0.2527
O3 O 0.2527 0.7473 0.7473
O4 O 0.7473 0.2527 0.2527
O5 O 0.7473 0.2527 0.7473
O6 O 0.7473 0.7473 0.2527